SbTePt2 after structural relaxation. Source: the Alexandria database, functional GGA-PBE.

Cell: 5.9428 5.9428 5.9428 Å, 149.56 129.28 60.32°
Closest atoms and distances in Å follow each position.
Positions (direct):
Pt  0.9926  0.9926  0.0000  2 Te 2.87, 4 Pt 2.88-3.12, 4 Sb 3.00
Pt  0.7571  0.2571  0.5000  2 Sb 2.86, 4 Pt 2.88-3.12, 4 Te 3.00
Sb  0.5234  0.5234  0.0000  6 Pt 2.86-3.00, 2 Sb 3.12
Te  0.2268  0.7268  0.5000  6 Pt 2.87-3.00, 2 Te 3.12

Values from the calculation:
The calculation puts the total DFT energy (no corrections) at -19.179 eV per cell. Its density of states at the Fermi level is 2.0 states/eV per cell.